Computed, not measured: crystalline CeBiPd3 at its relaxed geometry at the PBE-GGA level of DFT.

Results
**M_tot**: 0.62 μB per formula unit
**Energy**: -55.77 eV/cell
**Symmetry**: No. 74
**Energy of formation**: -0.498 eV/atom

Cell: 5.564 9.596 6.810 Å, 134.80 114.11 90.00°
Fractional coordinates of all 10 atoms:
Ce 0.250 0.254 0.500
Ce 0.750 0.746 0.500
Bi 0.000 0.500 0.000
Bi 0.500 0.000 0.000
Pd 0.821 0.321 0.141
Pd 0.321 0.321 0.141
Pd 0.679 0.679 0.859
Pd 0.179 0.679 0.859
Pd 0.250 0.962 0.500
Pd 0.750 0.038 0.500